Below is a relaxed FeSbRuRh crystal, with properties calculated at the GGA-PBE level.

Raw total energy, eV per cell: -29.4

Lattice parameters (Å, degrees): 4.413 4.413 4.413 60.00 60.00 60.00
Positions (direct):
Sb  0.750  0.750  0.750
Rh  0.000  0.000  0.000
Fe  0.250  0.250  0.250
Ru  0.500  0.500  0.500